# 1
{"formula": "AlNi12As3", "functional": "PBE", "state": "relaxed", "sg": "P4/mmm, No. 123", "delta_e_f_mev_per_atom": -243, "lattice": [[3.583, 0.000, 0.000], [0.000, 3.583, 0.000], [0.000, 0.000, 14.339]], "species": ["Ni", "Ni", "As", "Ni", "Ni", "Al", "Ni", "Ni", "Ni", "As", "Ni", "Ni", "Ni", "Ni", "Ni", "As"], "frac_coords": [[0.000, 0.500, 0.875], [0.500, 0.500, 0.500], [0.000, 0.000, 0.755], [0.000, 0.500, 0.625], [0.500, 0.500, 0.000], [0.000, 0.000, 0.000], [0.000, 0.500, 0.375], [0.500, 0.000, 0.125], [0.500, 0.000, 0.625], [0.000, 0.000, 0.245], [0.500, 0.000, 0.875], [0.000, 0.500, 0.125], [0.500, 0.500, 0.748], [0.500, 0.000, 0.375], [0.500, 0.500, 0.252], [0.000, 0.000, 0.500]]}


# 2
{"formula": "CoSbTe2", "functional": "PBE", "state": "relaxed", "sg": "P2_1/m, No. 11", "raw_formation_energy_kj_per_mol_fu": 49.5, "lattice": [[3.642, -0.006, 0.000], [-1.837, 6.503, 0.000], [0.000, 0.000, 7.991]], "species": ["Sb", "Te", "Co", "Te", "Te", "Sb", "Te", "Co"], "frac_coords": [[0.086, 0.175, 0.750], [0.647, 0.297, 0.054], [0.262, 0.528, 0.250], [0.353, 0.703, 0.946], [0.353, 0.703, 0.554], [0.914, 0.825, 0.250], [0.647, 0.297, 0.446], [0.738, 0.472, 0.750]]}


# 3
{"formula": "CrIn2Ir2S6", "functional": "PBE", "state": "relaxed", "sg": "C2/m, No. 12", "raw_formation_energy_kj_per_mol_fu": -408.3, "lattice": [[6.245, -0.023, 0.047], [-3.106, 5.417, 0.047], [-1.130, -1.942, 6.752]], "species": ["S", "In", "S", "Cr", "S", "S", "S", "In", "S", "Ir", "Ir"], "frac_coords": [[0.062, 0.400, 0.681], [0.165, 0.835, 0.000], [0.600, 0.938, 0.319], [0.000, 0.000, 0.500], [0.400, 0.062, 0.681], [0.726, 0.726, 0.678], [0.938, 0.600, 0.319], [0.835, 0.165, 0.000], [0.274, 0.274, 0.322], [0.669, 0.331, 0.500], [0.331, 0.669, 0.500]]}


# 4
{"formula": "GdPd", "functional": "PBE", "state": "relaxed", "sg": "Cmcm, No. 63", "delta_e_f_mev_per_atom": -873, "lattice": [[5.664, 0.000, 0.000], [-4.415, 3.549, 0.000], [0.000, 0.000, 4.605]], "species": ["Pd", "Gd", "Pd", "Gd"], "frac_coords": [[0.414, 0.586, 0.750], [0.863, 0.137, 0.250], [0.586, 0.414, 0.250], [0.137, 0.863, 0.750]]}


# 5
{"formula": "SrMg3Co", "functional": "PBE", "state": "relaxed", "sg": "Pm-3m, No. 221", "polymorph_energy_mev_per_atom": 0, "delta_e_f_mev_per_atom": 54, "lattice": [[4.986, 0.000, 0.000], [0.000, 4.986, 0.000], [0.000, 0.000, 4.986]], "species": ["Sr", "Mg", "Co", "Mg", "Mg"], "frac_coords": [[0.500, 0.500, 0.500], [0.000, 0.000, 0.500], [0.000, 0.000, 0.000], [0.000, 0.500, 0.000], [0.500, 0.000, 0.000]]}


# 6
{"formula": "PuSb2Pd5", "functional": "PBE", "state": "relaxed", "sg": "Immm, No. 71", "raw_formation_energy_kj_per_mol_fu": -346.9, "lattice": [[-0.802, -1.063, -3.825], [-4.833, -4.774, 0.196], [-6.257, 2.222, -1.450]], "species": ["Sb", "Pd", "Pu", "Pd", "Pd", "Sb", "Pd", "Pd"], "frac_coords": [[0.753, 0.747, 0.747], [0.632, 0.565, 0.172], [0.000, 0.000, 0.000], [0.632, 0.172, 0.565], [0.000, 0.500, 0.500], [0.247, 0.253, 0.253], [0.368, 0.828, 0.435], [0.368, 0.435, 0.828]]}


Respective final energy values: -5.68, -4.25, -5.62, -10.51, -2.66, -6.52 eV/atom.